1.
A plane-wave DFT calculation with PBE was carried out for SrRu2PbO8 after structural relaxation.

```
SrRu2PbO8
1.0
-2.022 -2.193 -5.182
4.083 -3.035 3.141
-5.560 -3.641 3.710
Sr Ru Pb O
1 2 1 8
Direct
0.000 0.000 0.000 Sr
0.667 0.333 0.194 Ru
0.333 0.667 0.806 Ru
0.000 0.000 0.500 Pb
0.333 0.667 0.038 O
0.331 0.165 0.261 O
0.835 0.167 0.261 O
0.667 0.333 0.962 O
0.165 0.833 0.739 O
0.669 0.835 0.739 O
0.167 0.331 0.739 O
0.833 0.669 0.261 O
```

Computed properties:
ρ (g/cm3): 4.40
Raw total energy (eV for the cell shown): -77.915
M_tot (μB/f.u.): 4.0

2.
A plane-wave DFT calculation with PBE was carried out for Cd2InGe2 after structural relaxation.

```
Cd2InGe2
1.0
-6.817 -0.788 5.306
-5.045 -1.970 -6.775
0.641 -2.962 0.384
Ge Cd In
4 4 2
Direct
0.154 0.654 0.500 Ge
0.654 0.846 0.500 Ge
0.846 0.346 0.500 Ge
0.346 0.154 0.500 Ge
0.357 0.857 0.000 Cd
0.857 0.643 0.000 Cd
0.643 0.143 0.000 Cd
0.143 0.357 0.000 Cd
0.000 0.000 0.000 In
0.500 0.500 0.000 In
```

Computed properties:
ρ (g/cm3): 7.01
Raw total energy (eV for the cell shown): -25.612
M_tot (μB/f.u.): 0.0
Calculated formation energy (eV/atom): 0.199
Polymorph energy (0 for the lowest one) (kJ/mol of atoms): 5.8

3.
A plane-wave DFT calculation with PBE was carried out for YHf2Re9 after structural relaxation.

```
YHf2Re9
1.0
-3.043 -1.527 4.034
-2.607 -4.583 -0.248
4.954 -6.121 4.873
Y Hf Re
1 2 9
Direct
0.000 0.000 0.000 Y
0.857 0.857 0.430 Hf
0.143 0.143 0.570 Hf
0.664 0.664 0.007 Re
0.336 0.336 0.993 Re
0.500 0.500 0.500 Re
0.410 0.410 0.258 Re
0.923 0.410 0.258 Re
0.410 0.923 0.258 Re
0.590 0.590 0.742 Re
0.590 0.077 0.742 Re
0.077 0.590 0.742 Re
```

Computed properties:
ρ (g/cm3): 16.70
Raw total energy (eV for the cell shown): -140.423
M_tot (μB/f.u.): 0.0
Calculated formation energy (eV/atom): -0.168

4.
A plane-wave DFT calculation with PBE was carried out for KTl2PtN after structural relaxation.

```
KTl2PtN
1.0
6.035 0.000 0.000
0.000 3.763 0.000
0.000 0.000 6.035
Tl K Pt N
2 1 1 1
Direct
0.000 0.000 0.500 Tl
0.500 0.000 0.000 Tl
0.500 0.500 0.500 K
0.000 0.500 0.000 Pt
0.000 0.000 0.000 N
```

Computed properties:
ρ (g/cm3): 7.96
Raw total energy (eV for the cell shown): -19.038
M_tot (μB/f.u.): 0.0

5.
A plane-wave DFT calculation with PBE was carried out for BRu after structural relaxation.

```
BRu
1.0
-4.313 4.360 2.136
-3.443 -0.732 -5.457
-2.148 -2.986 1.756
B Ru
8 8
Direct
0.183 0.064 0.000 B
0.817 0.936 0.000 B
0.936 0.183 0.000 B
0.064 0.817 0.000 B
0.683 0.564 0.500 B
0.317 0.436 0.500 B
0.436 0.683 0.500 B
0.564 0.317 0.500 B
0.384 0.814 0.000 Ru
0.616 0.186 0.000 Ru
0.186 0.384 0.000 Ru
0.814 0.616 0.000 Ru
0.884 0.314 0.500 Ru
0.116 0.686 0.500 Ru
0.686 0.884 0.500 Ru
0.314 0.116 0.500 Ru
```

Computed properties:
ρ (g/cm3): 8.65
Raw total energy (eV for the cell shown): -127.889
M_tot (μB/f.u.): 0.0
Calculated formation energy (eV/atom): -0.016

Repeat the third record exactly.
A plane-wave DFT calculation with PBE was carried out for YHf2Re9 after structural relaxation.

```
YHf2Re9
1.0
-3.043 -1.527 4.034
-2.607 -4.583 -0.248
4.954 -6.121 4.873
Y Hf Re
1 2 9
Direct
0.000 0.000 0.000 Y
0.857 0.857 0.430 Hf
0.143 0.143 0.570 Hf
0.664 0.664 0.007 Re
0.336 0.336 0.993 Re
0.500 0.500 0.500 Re
0.410 0.410 0.258 Re
0.923 0.410 0.258 Re
0.410 0.923 0.258 Re
0.590 0.590 0.742 Re
0.590 0.077 0.742 Re
0.077 0.590 0.742 Re
```

Computed properties:
ρ (g/cm3): 16.70
Raw total energy (eV for the cell shown): -140.423
M_tot (μB/f.u.): 0.0
Calculated formation energy (eV/atom): -0.168

Question: The lowest ρ belongs to which entry?
Answer: SrRu2PbO8

Question: M_tot of number 2 (Cd2InGe2)?
Answer: 0.0 μB/f.u.

Question: Which formula does entry 4 have?
Answer: KTl2PtN